1.
# LiEuPb3

Crystalline LiEuPb3 at its relaxed geometry (GGA-PBE, Alexandria).

Results
space-group type = Pm-3m

Cell: 5.256 5.256 5.256 Å, 90.00 90.00 90.00°
Each line ends with the local moment (μB).
Atoms (fractional coordinates):
Pb1 0.000 0.500 0.000  -0.01
Pb2 0.000 0.000 0.500  -0.01
Pb3 0.500 0.000 0.000  -0.01
Eu1 0.500 0.500 0.500  6.88
Li1 0.000 0.000 0.000  -0.01



2.
# LiEu2Pb

Crystalline LiEu2Pb at its relaxed geometry (GGA-PBE, Alexandria).

Results
space-group type = Fm-3m
E above lowest polymorph = 0 meV/atom

Cell: 5.617 5.617 5.617 Å, 60.00 60.00 60.00°
Each line ends with the local moment (μB).
Atoms (fractional coordinates):
Pb1 0.000 0.000 0.000  -0.06
Eu1 0.250 0.250 0.250  6.90
Eu2 0.750 0.750 0.750  6.90
Li1 0.500 0.500 0.500  0.04



3.
# LiEuPb

Crystalline LiEuPb at its relaxed geometry (GGA-PBE, Alexandria).

Results
space-group type = F-43m
E above lowest polymorph = 246 meV/atom

Cell: 5.234 5.234 5.234 Å, 60.00 60.00 60.00°
Each line ends with the local moment (μB).
Atoms (fractional coordinates):
Pb1 0.250 0.250 0.250  -0.25
Eu1 0.000 0.000 0.000  6.67
Li1 0.500 0.500 0.500  -0.03



4.
# LiEuPb

Crystalline LiEuPb at its relaxed geometry (GGA-PBE, Alexandria).

Results
space-group type = I4mm
E above lowest polymorph = 126 meV/atom

Cell: 3.842 3.842 6.372 Å, 107.55 107.55 90.00°
Each line ends with the local moment (μB).
Atoms (fractional coordinates):
Pb1 0.921 0.921 0.843  -0.03
Eu1 0.613 0.613 0.227  6.97
Li1 0.315 0.315 0.631  0.03



5.
# LiPmEuPb

Crystalline LiPmEuPb at its relaxed geometry (GGA-PBE, Alexandria).

Results
space-group type = F-43m

Cell: 5.501 5.501 5.501 Å, 60.00 60.00 60.00°
Each line ends with the local moment (μB).
Atoms (fractional coordinates):
Pb1 0.000 0.000 0.000  -0.03
Eu1 0.750 0.750 0.750  6.91
Li1 0.500 0.500 0.500  0.02
Pm1 0.250 0.250 0.250  0.15



6.
# LiPrEuPb

Crystalline LiPrEuPb at its relaxed geometry (GGA-PBE, Alexandria).

Results
space-group type = F-43m

Cell: 5.545 5.545 5.545 Å, 60.00 60.00 60.00°
Each line ends with the local moment (μB).
Atoms (fractional coordinates):
Pb1 0.250 0.250 0.250  -0.03
Eu1 0.500 0.500 0.500  6.92
Pr1 0.000 0.000 0.000  0.14
Li1 0.750 0.750 0.750  0.02



7.
# RbLiEuPb

Crystalline RbLiEuPb at its relaxed geometry (GGA-PBE, Alexandria).

Results
space-group type = F-43m

Cell: 5.667 5.667 5.667 Å, 60.00 60.00 60.00°
Each line ends with the local moment (μB).
Atoms (fractional coordinates):
Pb1 0.250 0.250 0.250  -0.04
Eu1 0.500 0.500 0.500  6.92
Rb1 0.750 0.750 0.750  0.01
Li1 0.000 0.000 0.000  -0.01



8.
# LiEuRhPb

Crystalline LiEuRhPb at its relaxed geometry (GGA-PBE, Alexandria).

Results
space-group type = F-43m

Cell: 4.909 4.909 4.909 Å, 60.00 60.00 60.00°
Each line ends with the local moment (μB).
Atoms (fractional coordinates):
Pb1 0.250 0.250 0.250  0.00
Eu1 0.750 0.750 0.750  6.77
Rh1 0.500 0.500 0.500  -0.03
Li1 0.000 0.000 0.000  0.01



| no. | formation energy from the elements (eV per atom) |
| --- | --- |
| 1 | -0.180 |
| 2 | -0.361 |
| 3 | -0.202 |
| 4 | -0.322 |
| 5 | -0.322 |
| 6 | -0.331 |
| 7 | -0.151 |
| 8 | -0.334 |